Material: La3Nd4Cd
Method: DFT, PBE
State: relaxed

Summary:
The value obtained for the density of states at the Fermi level is 11.20 states/eV/cell. The calculation puts the calculated total energy at -4.418 eV/atom. The polymorph energy (0 for the lowest one) is 0.0 meV/atom. For the formation enthalpy at 0 K, the calculation gives -0.072 eV per atom.

Cell: 3.7408 3.7408 19.5720 Å, 90.00 90.00 90.00°
Last column: nearest neighbours and their distance in Å.
Atoms (fractional coordinates):
Cd (0.5000, 0.5000, 0.0000)  8 Nd 3.34, 4 Cd 3.74
Nd (0.0000, 0.0000, 0.8954)  4 Cd 3.34, 4 La 3.67, 4 Nd 3.74
Nd (0.0000, 0.0000, 0.1046)  4 Cd 3.34, 4 La 3.67, 4 Nd 3.74
Nd (0.0000, 0.0000, 0.3679)  8 La 3.70-3.71, 4 Nd 3.74
Nd (0.0000, 0.0000, 0.6321)  8 La 3.70-3.71, 4 Nd 3.74
La (0.5000, 0.5000, 0.2349)  8 Nd 3.67-3.71, 4 La 3.74
La (0.5000, 0.5000, 0.5000)  8 Nd 3.70, 4 La 3.74
La (0.5000, 0.5000, 0.7651)  8 Nd 3.67-3.71, 4 La 3.74